# 1
Entry from Alexandria via LeMat-Bulk: an optimized crystal structure of DyZrSn (PBE-GGA).

DOS at the Fermi energy: 2.86 states/eV per cell
VASP energy: -0.4241 Ry per atom
Formation energy from the elements: -0.053 eV/atom

Cell lengths 3.154, 5.153, 5.153 Å; angles 120.00, 90.00, 90.00 degrees
Fractional positions:
1 Sn 0.676 0.667 0.333
2 Zr 0.153 0.000 0.000
3 Dy 0.171 0.333 0.667



# 2
Entry from Alexandria via LeMat-Bulk: an optimized crystal structure of LiTcSeBr2 (PBE-GGA).

DOS at the Fermi energy: 2.43 states/eV per cell
VASP energy: -0.2968 Ry per atom
Formation energy from raw total energies: -0.216 eV/atom

Cell lengths 5.356, 5.356, 4.699 Å; angles 90.00, 90.00, 90.00 degrees
Fractional positions:
1 Li 0.500 0.500 0.500
2 Br 0.500 0.000 0.000
3 Br 0.000 0.500 0.000
4 Se 0.000 0.000 0.500
5 Tc 0.000 0.000 0.000